A plane-wave DFT calculation with PBE-GGA was carried out for Nd3YEr4 after structural relaxation.

The total energy comes out at -4.86 eV/atom. As for the density of states at the Fermi level: 22.2 states/eV per cell.

It has space group Pmna (No. 53), with a = 10.129 Å, b = 7.160 Å, c = 7.158 Å, α = 90.00°, β = 90.00° and γ = 90.00°. Symmetry generates all atoms from Nd at (0.000, 0.000, 0.000), Nd at (0.250, 0.251, 0.250), Y at (0.000, 0.500, 0.500), Er at (0.000, 0.000, 0.500), Er at (0.000, 0.500, 0.000) and Er at (0.250, 0.250, 0.750).